# 1
# Tb4Pr3Ho4 (PBE, optimized geometry)
# Total energy ... -50.983 eV per cell
data_Tb4Pr3Ho4
_chemical_formula_sum 'Tb4 Pr3 Ho4'
_symmetry_space_group_name_H-M 'P -1'
_symmetry_Int_Tables_number 2
_symmetry_space_group_name_Hall '-P 1'
_cell_length_a 3.593
_cell_length_b 5.062
_cell_length_c 19.999
_cell_angle_alpha 82.75
_cell_angle_beta 84.91
_cell_angle_gamma 90.00
loop_
_atom_site_label
_atom_site_type_symbol
_atom_site_fract_x
_atom_site_fract_y
_atom_site_fract_z
Tb1 Tb 0.046 0.047 0.408
Tb2 Tb 0.318 0.317 0.867
Pr1 Pr 0.136 0.138 0.226
Pr2 Pr 0.500 0.500 0.500
Ho1 Ho 0.229 0.228 0.044
Ho2 Ho 0.408 0.407 0.682

=====

# 2
# Tb2Pr3Ho2 (PBE, optimized geometry)
# Total energy ... -63.975 eV per cell
data_Tb2Pr3Ho2
_chemical_formula_sum 'Tb4 Pr6 Ho4'
_symmetry_space_group_name_H-M 'C 1 2/m 1'
_symmetry_Int_Tables_number 12
_symmetry_space_group_name_Hall '-C 2y'
_cell_length_a 17.674
_cell_length_b 3.536
_cell_length_c 8.635
_cell_angle_alpha 90.00
_cell_angle_beta 118.62
_cell_angle_gamma 90.00
loop_
_atom_site_label
_atom_site_type_symbol
_atom_site_fract_x
_atom_site_fract_y
_atom_site_fract_z
Tb1 Tb 0.143 0.000 0.321
Pr1 Pr 0.000 0.000 0.500
Pr2 Pr 0.214 0.000 0.800
Ho1 Ho 0.064 0.500 0.909

=====

# 3
# Tb3Pr5Ho (PBE, optimized geometry)
# Total energy ... -160.004 eV per cell
data_Tb3Pr5Ho
_chemical_formula_sum 'Tb12 Pr20 Ho4'
_symmetry_space_group_name_H-M 'C 1 2/c 1'
_symmetry_Int_Tables_number 15
_symmetry_space_group_name_Hall '-C 2yc'
_cell_length_a 20.347
_cell_length_b 6.344
_cell_length_c 11.813
_cell_angle_alpha 90.00
_cell_angle_beta 123.05
_cell_angle_gamma 90.00
loop_
_atom_site_label
_atom_site_type_symbol
_atom_site_fract_x
_atom_site_fract_y
_atom_site_fract_z
Tb1 Tb 0.000 0.000 0.000
Tb2 Tb 0.175 0.224 0.025
Pr1 Pr 0.000 0.411 0.250
Pr2 Pr 0.138 0.328 0.659
Pr3 Pr 0.180 0.179 0.331
Ho1 Ho 0.000 0.099 0.750

=====

# 4
# Tb7Pr2Ho2 (PBE, optimized geometry)
# Total energy ... -98.910 eV per cell
data_Tb7Pr2Ho2
_chemical_formula_sum 'Tb14 Pr4 Ho4'
_symmetry_space_group_name_H-M 'C 1 2/m 1'
_symmetry_Int_Tables_number 12
_symmetry_space_group_name_Hall '-C 2y'
_cell_length_a 11.357
_cell_length_b 11.506
_cell_length_c 6.072
_cell_angle_alpha 90.00
_cell_angle_beta 113.25
_cell_angle_gamma 90.00
loop_
_atom_site_label
_atom_site_type_symbol
_atom_site_fract_x
_atom_site_fract_y
_atom_site_fract_z
Tb1 Tb 0.000 0.000 0.000
Tb2 Tb 0.086 0.500 0.801
Tb3 Tb 0.175 0.235 0.174
Pr1 Pr 0.230 0.000 0.593
Ho1 Ho 0.000 0.219 0.500

=====

# 5
# TbPr12Ho3 (PBE, optimized geometry)
# Total energy ... -75.519 eV per cell
data_TbPr12Ho3
_chemical_formula_sum 'Tb1 Pr12 Ho3'
_symmetry_space_group_name_H-M 'P 4/m m m'
_symmetry_Int_Tables_number 123
_symmetry_space_group_name_Hall '-P 4 2'
_cell_length_a 5.190
_cell_length_b 5.190
_cell_length_c 20.702
_cell_angle_alpha 90.00
_cell_angle_beta 90.00
_cell_angle_gamma 90.00
loop_
_atom_site_label
_atom_site_type_symbol
_atom_site_fract_x
_atom_site_fract_y
_atom_site_fract_z
Tb1 Tb 0.000 0.000 0.000
Pr1 Pr 0.000 0.500 0.125
Pr2 Pr 0.000 0.500 0.375
Pr3 Pr 0.500 0.500 0.000
Pr4 Pr 0.500 0.500 0.250
Pr5 Pr 0.500 0.500 0.500
Ho1 Ho 0.000 0.000 0.250
Ho2 Ho 0.000 0.000 0.500

=====

# 6
# Tb5Pr2Ho4 (PBE, optimized geometry)
# Total energy ... -98.580 eV per cell
data_Tb5Pr2Ho4
_chemical_formula_sum 'Tb10 Pr4 Ho8'
_symmetry_space_group_name_H-M 'C 1 2/m 1'
_symmetry_Int_Tables_number 12
_symmetry_space_group_name_Hall '-C 2y'
_cell_length_a 16.565
_cell_length_b 6.676
_cell_length_c 6.702
_cell_angle_alpha 90.00
_cell_angle_beta 100.64
_cell_angle_gamma 90.00
loop_
_atom_site_label
_atom_site_type_symbol
_atom_site_fract_x
_atom_site_fract_y
_atom_site_fract_z
Tb1 Tb 0.000 0.000 0.000
Tb2 Tb 0.088 0.264 0.406
Pr1 Pr 0.200 0.000 0.799
Ho1 Ho 0.088 0.500 0.907
Ho2 Ho 0.244 0.000 0.307

=====

# 7
# TbPr3Ho (PBE, optimized geometry)
# Total energy ... -44.437 eV per cell
data_TbPr3Ho
_chemical_formula_sum 'Tb2 Pr6 Ho2'
_symmetry_space_group_name_H-M 'P m m a'
_symmetry_Int_Tables_number 51
_symmetry_space_group_name_Hall '-P 2a 2a'
_cell_length_a 6.833
_cell_length_b 3.396
_cell_length_c 15.041
_cell_angle_alpha 90.00
_cell_angle_beta 90.00
_cell_angle_gamma 90.00
loop_
_atom_site_label
_atom_site_type_symbol
_atom_site_fract_x
_atom_site_fract_y
_atom_site_fract_z
Tb1 Tb 0.250 0.000 0.196
Pr1 Pr 0.000 0.000 0.000
Pr2 Pr 0.007 0.000 0.613
Ho1 Ho 0.250 0.500 0.804

=====

# 8
# TbPr8Ho4 (PBE, optimized geometry)
# Total energy ... -176.268 eV per cell
data_TbPr8Ho4
_chemical_formula_sum 'Tb3 Pr24 Ho12'
_symmetry_space_group_name_H-M 'R -3 m'
_symmetry_Int_Tables_number 166
_symmetry_space_group_name_Hall '-R 3 2"'
_cell_length_a 7.3071
_cell_length_b 7.3071
_cell_length_c 29.3241
_cell_angle_alpha 90.00
_cell_angle_beta 90.00
_cell_angle_gamma 120.00
loop_
_atom_site_label
_atom_site_type_symbol
_atom_site_fract_x
_atom_site_fract_y
_atom_site_fract_z
Tb1 Tb 0.0000 0.0000 0.0000
Pr1 Pr 0.0000 0.0000 0.2877
Pr2 Pr 0.0292 0.5146 0.2631
Ho1 Ho 0.0000 0.0000 0.5000
Ho2 Ho 0.0000 0.5000 0.5000